1.
# LaCr2Cl (PBE-GGA, relaxed)
data_LaCr2Cl
_chemical_formula_sum 'La1 Cr2 Cl1'
_cell_length_a 4.084
_cell_length_b 4.084
_cell_length_c 5.795
_cell_angle_alpha 90.00
_cell_angle_beta 90.00
_cell_angle_gamma 90.00
_symmetry_space_group_name_H-M 'P 4/m m m'
_symmetry_Int_Tables_number 123
_symmetry_space_group_name_Hall '-P 4 2'
loop_
_atom_site_label
_atom_site_type_symbol
_atom_site_fract_x
_atom_site_fract_y
_atom_site_fract_z
La1 La 0.000 0.000 0.000
Cr1 Cr 0.000 0.500 0.500
Cl1 Cl 0.500 0.500 0.000
# **D(E_F)**: 3.7 states/eV/cell
# **Formation energy (no corrections)**: 1.12 eV per formula unit
# **Energy relative to the lowest polymorph listed for this composition**: 402 meV per atom
# **Total magnetization**: 8.73 μB/cell
# **E**: -6.224 eV per atom

2.
# LaCr2Cl (PBE-GGA, relaxed)
data_LaCr2Cl
_chemical_formula_sum 'La3 Cr6 Cl3'
_cell_length_a 3.9975
_cell_length_b 3.9975
_cell_length_c 22.5222
_cell_angle_alpha 90.00
_cell_angle_beta 90.00
_cell_angle_gamma 120.00
_symmetry_space_group_name_H-M 'R 3 m'
_symmetry_Int_Tables_number 160
_symmetry_space_group_name_Hall 'R 3 -2"'
loop_
_atom_site_label
_atom_site_type_symbol
_atom_site_fract_x
_atom_site_fract_y
_atom_site_fract_z
La1 La 0.0000 0.0000 0.0000
Cr1 Cr 0.0000 0.0000 0.4515
Cr2 Cr 0.0000 0.0000 0.7530
Cl1 Cl 0.0000 0.0000 0.2494
# **D(E_F)**: 3.8 states/eV/cell
# **Formation energy (no corrections)**: -0.04 eV per formula unit
# **Energy relative to the lowest polymorph listed for this composition**: 110 meV per atom
# **Total magnetization**: 0.32 μB/cell
# **E**: -6.516 eV per atom

3.
# LaCr2Cl (PBE-GGA, relaxed)
data_LaCr2Cl
_chemical_formula_sum 'La2 Cr4 Cl2'
_cell_length_a 3.274
_cell_length_b 3.325
_cell_length_c 15.345
_cell_angle_alpha 90.00
_cell_angle_beta 90.00
_cell_angle_gamma 90.00
_symmetry_space_group_name_H-M 'A m m 2'
_symmetry_Int_Tables_number 38
loop_
_symmetry_equiv_pos_as_xyz
'x,y,z'
'-x,-y,z'
'-x,y,z'
'x,-y,z'
'x,y+1/2,z+1/2'
'-x,-y+1/2,z+1/2'
'-x,y+1/2,z+1/2'
'x,-y+1/2,z+1/2'
loop_
_atom_site_label
_atom_site_type_symbol
_atom_site_fract_x
_atom_site_fract_y
_atom_site_fract_z
La1 La 0.000 0.000 0.000
Cr1 Cr 0.000 0.000 0.217
Cr2 Cr 0.500 0.000 0.650
Cl1 Cl 0.500 0.000 0.372
# **D(E_F)**: 6.2 states/eV/cell
# **Formation energy (no corrections)**: -0.49 eV per formula unit
# **Energy relative to the lowest polymorph listed for this composition**: 0 meV per atom
# **Total magnetization**: 0.44 μB/cell
# **E**: -6.627 eV per atom

4.
# LaCrCl6 (PBE-GGA, relaxed)
data_LaCrCl6
_chemical_formula_sum 'La3 Cr3 Cl18'
_cell_length_a 6.4935
_cell_length_b 6.4935
_cell_length_c 17.8036
_cell_angle_alpha 90.00
_cell_angle_beta 90.00
_cell_angle_gamma 120.00
_symmetry_space_group_name_H-M 'R -3'
_symmetry_Int_Tables_number 148
_symmetry_space_group_name_Hall '-R 3'
loop_
_atom_site_label
_atom_site_type_symbol
_atom_site_fract_x
_atom_site_fract_y
_atom_site_fract_z
La1 La 0.0000 0.0000 0.0000
Cr1 Cr 0.0000 0.0000 0.5000
Cl1 Cl 0.0054 0.7042 0.4237
# **Formation energy (no corrections)**: -13.29 eV per formula unit
# **Total magnetization**: 9.00 μB/cell
# **E**: -4.865 eV per atom

5.
# LaCr2Cl (PBE-GGA, relaxed)
data_LaCr2Cl
_chemical_formula_sum 'La2 Cr4 Cl2'
_cell_length_a 3.607
_cell_length_b 5.632
_cell_length_c 9.239
_cell_angle_alpha 90.00
_cell_angle_beta 90.00
_cell_angle_gamma 90.00
_symmetry_space_group_name_H-M 'C m m m'
_symmetry_Int_Tables_number 65
_symmetry_space_group_name_Hall '-C 2 2'
loop_
_atom_site_label
_atom_site_type_symbol
_atom_site_fract_x
_atom_site_fract_y
_atom_site_fract_z
La1 La 0.000 0.000 0.000
Cr1 Cr 0.000 0.500 0.283
Cl1 Cl 0.000 0.000 0.500
# **D(E_F)**: 5.8 states/eV/cell
# **Formation energy (no corrections)**: 1.66 eV per formula unit
# **Energy relative to the lowest polymorph listed for this composition**: 537 meV per atom
# **Total magnetization**: 16.98 μB/cell
# **E**: -6.089 eV per atom

6.
# LaCr4Cl (PBE-GGA, relaxed)
data_LaCr4Cl
_chemical_formula_sum 'La4 Cr16 Cl4'
_cell_length_a 7.366
_cell_length_b 7.366
_cell_length_c 7.366
_cell_angle_alpha 90.00
_cell_angle_beta 90.00
_cell_angle_gamma 90.00
_symmetry_space_group_name_H-M 'F -4 3 m'
_symmetry_Int_Tables_number 216
_symmetry_space_group_name_Hall 'F -4 2 3'
loop_
_atom_site_label
_atom_site_type_symbol
_atom_site_fract_x
_atom_site_fract_y
_atom_site_fract_z
La1 La 0.000 0.000 0.000
Cr1 Cr 0.133 0.133 0.633
Cl1 Cl 0.250 0.250 0.250
# **D(E_F)**: 35.6 states/eV/cell
# **Formation energy (no corrections)**: 5.10 eV per formula unit
# **Total magnetization**: 5.14 μB/cell
# **E**: -6.694 eV per atom

7.
# LaCr2Cl (PBE-GGA, relaxed)
data_LaCr2Cl
_chemical_formula_sum 'La1 Cr2 Cl1'
_cell_length_a 3.316
_cell_length_b 3.316
_cell_length_c 8.340
_cell_angle_alpha 90.00
_cell_angle_beta 90.00
_cell_angle_gamma 90.00
_symmetry_space_group_name_H-M 'P 4 m m'
_symmetry_Int_Tables_number 99
loop_
_symmetry_equiv_pos_as_xyz
'x,y,z'
'-y,x,z'
'-x,-y,z'
'y,-x,z'
'-x,y,z'
'y,x,z'
'x,-y,z'
'-y,-x,z'
loop_
_atom_site_label
_atom_site_type_symbol
_atom_site_fract_x
_atom_site_fract_y
_atom_site_fract_z
La1 La 0.000 0.000 0.000
Cr1 Cr 0.000 0.000 0.606
Cr2 Cr 0.500 0.500 0.716
Cl1 Cl 0.500 0.500 0.222
# **D(E_F)**: 2.7 states/eV/cell
# **Formation energy (no corrections)**: -0.39 eV per formula unit
# **Energy relative to the lowest polymorph listed for this composition**: 25 meV per atom
# **Total magnetization**: 0.17 μB/cell
# **E**: -6.602 eV per atom

8.
# LaCr2Cl (PBE-GGA, relaxed)
data_LaCr2Cl
_chemical_formula_sum 'La4 Cr8 Cl4'
_cell_length_a 4.560
_cell_length_b 4.560
_cell_length_c 16.013
_cell_angle_alpha 90.00
_cell_angle_beta 90.00
_cell_angle_gamma 90.00
_symmetry_space_group_name_H-M 'I 41/a m d'
_symmetry_Int_Tables_number 141
loop_
_symmetry_equiv_pos_as_xyz
'x,y,z'
'-x,-y,-z'
'-y+1/4,x+3/4,z+1/4'
'y+1/4,-x+3/4,-z+1/4'
'-x+1/2,-y,z+1/2'
'x+1/2,y,-z+1/2'
'y+1/4,-x+1/4,z+3/4'
'-y+1/4,x+1/4,-z+3/4'
'x,-y,-z'
'-x,y,z'
'-y+1/4,-x+1/4,-z+3/4'
'y+1/4,x+1/4,z+3/4'
'-x+1/2,y,-z+1/2'
'x+1/2,-y,z+1/2'
'y+1/4,x+3/4,-z+1/4'
'-y+1/4,-x+3/4,z+1/4'
'x+1/2,y+1/2,z+1/2'
'-x+1/2,-y+1/2,-z+1/2'
'-y+3/4,x+1/4,z+3/4'
'y+3/4,-x+1/4,-z+3/4'
'-x,-y+1/2,z'
'x,y+1/2,-z'
'y+3/4,-x+3/4,z+1/4'
'-y+3/4,x+3/4,-z+1/4'
'x+1/2,-y+1/2,-z+1/2'
'-x+1/2,y+1/2,z+1/2'
'-y+3/4,-x+3/4,-z+1/4'
'y+3/4,x+3/4,z+1/4'
'-x,y+1/2,-z'
'x,-y+1/2,z'
'y+3/4,x+1/4,-z+3/4'
'-y+3/4,-x+1/4,z+3/4'
loop_
_atom_site_label
_atom_site_type_symbol
_atom_site_fract_x
_atom_site_fract_y
_atom_site_fract_z
La1 La 0.000 0.250 0.375
Cr1 Cr 0.000 0.000 0.000
Cl1 Cl 0.000 0.250 0.875
# **D(E_F)**: 15.8 states/eV/cell
# **Formation energy (no corrections)**: 1.92 eV per formula unit
# **Energy relative to the lowest polymorph listed for this composition**: 602 meV per atom
# **Total magnetization**: 13.65 μB/cell
# **E**: -6.025 eV per atom

9.
# LaCr2Cl (PBE-GGA, relaxed)
data_LaCr2Cl
_chemical_formula_sum 'La1 Cr2 Cl1'
_cell_length_a 3.474
_cell_length_b 4.738
_cell_length_c 5.100
_cell_angle_alpha 90.00
_cell_angle_beta 90.00
_cell_angle_gamma 90.00
_symmetry_space_group_name_H-M 'P m m m'
_symmetry_Int_Tables_number 47
loop_
_symmetry_equiv_pos_as_xyz
'x,y,z'
'-x,-y,-z'
'-x,-y,z'
'x,y,-z'
'x,-y,-z'
'-x,y,z'
'-x,y,-z'
'x,-y,z'
loop_
_atom_site_label
_atom_site_type_symbol
_atom_site_fract_x
_atom_site_fract_y
_atom_site_fract_z
La1 La 0.000 0.000 0.000
Cr1 Cr 0.500 0.194 0.500
Cl1 Cl 0.500 0.500 0.000
# **D(E_F)**: 3.2 states/eV/cell
# **Formation energy (no corrections)**: 1.03 eV per formula unit
# **Energy relative to the lowest polymorph listed for this composition**: 378 meV per atom
# **Total magnetization**: 0.00 μB/cell
# **E**: -6.248 eV per atom

10.
# LaCr2Cl (PBE-GGA, relaxed)
data_LaCr2Cl
_chemical_formula_sum 'La2 Cr4 Cl2'
_cell_length_a 4.430
_cell_length_b 5.768
_cell_length_c 6.883
_cell_angle_alpha 90.00
_cell_angle_beta 90.00
_cell_angle_gamma 90.00
_symmetry_space_group_name_H-M 'I m m 2'
_symmetry_Int_Tables_number 44
loop_
_symmetry_equiv_pos_as_xyz
'x,y,z'
'-x,-y,z'
'-x,y,z'
'x,-y,z'
'x+1/2,y+1/2,z+1/2'
'-x+1/2,-y+1/2,z+1/2'
'-x+1/2,y+1/2,z+1/2'
'x+1/2,-y+1/2,z+1/2'
loop_
_atom_site_label
_atom_site_type_symbol
_atom_site_fract_x
_atom_site_fract_y
_atom_site_fract_z
La1 La 0.000 0.000 0.000
Cr1 Cr 0.000 0.000 0.502
Cr2 Cr 0.000 0.500 0.195
Cl1 Cl 0.000 0.500 0.825
# **D(E_F)**: 3.5 states/eV/cell
# **Formation energy (no corrections)**: 0.51 eV per formula unit
# **Energy relative to the lowest polymorph listed for this composition**: 249 meV per atom
# **Total magnetization**: 0.03 μB/cell
# **E**: -6.377 eV per atom

11.
# La4CrCl (PBE-GGA, relaxed)
data_La4CrCl
_chemical_formula_sum 'La16 Cr4 Cl4'
_cell_length_a 9.218
_cell_length_b 9.218
_cell_length_c 9.218
_cell_angle_alpha 90.00
_cell_angle_beta 90.00
_cell_angle_gamma 90.00
_symmetry_space_group_name_H-M 'F -4 3 m'
_symmetry_Int_Tables_number 216
_symmetry_space_group_name_Hall 'F -4 2 3'
loop_
_atom_site_label
_atom_site_type_symbol
_atom_site_fract_x
_atom_site_fract_y
_atom_site_fract_z
La1 La 0.123 0.123 0.377
Cr1 Cr 0.250 0.250 0.750
Cl1 Cl 0.000 0.000 0.000
# **D(E_F)**: 36.2 states/eV/cell
# **Formation energy (no corrections)**: 2.75 eV per formula unit
# **Total magnetization**: 24.44 μB/cell
# **E**: -4.738 eV per atom

12.
# LaCr2Cl (PBE-GGA, relaxed)
data_LaCr2Cl
_chemical_formula_sum 'La2 Cr4 Cl2'
_cell_length_a 6.956
_cell_length_b 3.992
_cell_length_c 7.069
_cell_angle_alpha 90.00
_cell_angle_beta 90.09
_cell_angle_gamma 90.00
_symmetry_space_group_name_H-M 'C 1 m 1'
_symmetry_Int_Tables_number 8
loop_
_symmetry_equiv_pos_as_xyz
'x,y,z'
'x,-y,z'
'x+1/2,y+1/2,z'
'x+1/2,-y+1/2,z'
loop_
_atom_site_label
_atom_site_type_symbol
_atom_site_fract_x
_atom_site_fract_y
_atom_site_fract_z
La1 La 0.000 0.000 0.000
Cr1 Cr 0.166 0.500 0.376
Cr2 Cr 0.333 0.000 0.272
Cl1 Cl 0.167 0.500 0.719
# **D(E_F)**: 2.3 states/eV/cell
# **Formation energy (no corrections)**: -0.40 eV per formula unit
# **Energy relative to the lowest polymorph listed for this composition**: 23 meV per atom
# **Total magnetization**: 0.12 μB/cell
# **E**: -6.604 eV per atom